The following is a DFT calculation (PBE-GGA) of crystalline InCuW4N2 at its relaxed geometry.

Calculated values
- total DFT energy (no corrections) (eV per atom) = -9.089

Geometry as CIF:
```
data_InCuW4N2
_cell_length_a 2.8614
_cell_length_b 2.8614
_cell_length_c 15.0609
_cell_angle_alpha 90.00
_cell_angle_beta 90.00
_cell_angle_gamma 120.00
_space_group_name_H-M_alt 'P -6 m 2'
_space_group_IT_number 187
_space_group_name_Hall 'P -6 2'
loop_
_atom_site_label
_atom_site_type_symbol
_atom_site_fract_x
_atom_site_fract_y
_atom_site_fract_z
_atom_site_occupancy
In1 In 0.0000 0.0000 0.0000 1
Cu1 Cu 0.6667 0.3333 0.5000 1
W1 W 0.0000 0.0000 0.3551 1
W2 W 0.6667 0.3333 0.1644 1
N1 N 0.3333 0.6667 0.2587 1
```